Record 1
Computed, not measured: Tb4PrEr8 after structural relaxation at the PBE level of DFT.

Cell and atoms, written as POSCAR:
```
Tb4PrEr8
1.0
-7.058 -1.720 -0.454
4.646 -4.534 3.292
1.647 6.788 7.026
Er Tb Pr
8 4 1
Direct
0.943 0.192 0.694
0.057 0.808 0.306
0.501 0.751 0.694
0.943 0.751 0.694
0.437 0.218 0.655
0.499 0.249 0.306
0.563 0.782 0.345
0.057 0.249 0.306
0.000 0.000 0.000
0.500 0.000 0.000
0.500 0.500 0.000
0.000 0.500 0.000
0.000 0.500 0.500
```

Values from the calculation:
Magnetization   0.00 μB/f.u.
Energy of formation   0.20 eV/atom
V   412 Å³/cell
Calculated total energy   -4.398 eV/atom

---

Record 2
Computed, not measured: Tb4Pr3Er8 after structural relaxation at the PBE level of DFT.

Cell and atoms, written as POSCAR:
```
Tb4Pr3Er8
1.0
-3.376 -2.284 5.357
6.733 -5.872 -2.483
6.644 5.963 2.506
Er Tb Pr
8 4 3
Direct
0.500 0.253 0.747
0.000 0.361 0.639
0.000 0.639 0.361
0.472 0.734 0.734
0.005 0.263 0.263
0.500 0.747 0.253
0.528 0.266 0.266
0.995 0.737 0.737
0.000 0.500 0.000
0.000 0.000 0.500
0.500 0.000 0.000
0.000 0.000 0.000
0.500 0.500 0.000
0.500 0.500 0.500
0.500 0.000 0.500
```

Values from the calculation:
Magnetization   0.00 μB/f.u.
Energy of formation   0.39 eV/atom
V   500 Å³/cell
Calculated total energy   -4.235 eV/atom

---

Record 3
Computed, not measured: Tb8PrEr3 after structural relaxation at the PBE level of DFT.

Cell and atoms, written as POSCAR:
```
Tb8PrEr3
1.0
-3.289 5.476 -5.825
-4.660 -6.986 -2.050
-0.320 -0.908 8.591
Tb Pr Er
8 1 3
Direct
0.984 0.740 0.244
0.496 0.740 0.756
0.168 0.419 0.251
0.168 0.917 0.749
0.832 0.581 0.749
0.504 0.260 0.244
0.016 0.260 0.756
0.832 0.083 0.251
0.000 0.000 0.000
0.500 0.261 0.761
0.000 0.500 0.500
0.500 0.739 0.239
```

Values from the calculation:
Magnetization   0.00 μB/f.u.
Energy of formation   0.34 eV/atom
V   415 Å³/cell
Calculated total energy   -4.290 eV/atom

---

Record 4
Computed, not measured: Tb7Pr4Er after structural relaxation at the PBE level of DFT.

Cell and atoms, written as POSCAR:
```
Tb7Pr4Er
1.0
-4.365 -1.821 -5.020
-7.373 -4.943 -0.058
-5.474 6.498 3.419
Tb Pr Er
7 4 1
Direct
0.500 0.000 0.000
0.983 0.319 0.641
0.017 0.681 0.359
0.264 0.490 0.050
0.293 0.813 0.618
0.707 0.187 0.382
0.736 0.510 0.950
0.225 0.161 0.307
0.775 0.839 0.693
0.550 0.640 0.283
0.450 0.360 0.717
0.000 0.000 0.000
```

Values from the calculation:
Magnetization   0.00 μB/f.u.
Energy of formation   0.09 eV/atom
V   402 Å³/cell
Calculated total energy   -4.586 eV/atom

---

Record 5
Computed, not measured: Tb5Pr2Er3 after structural relaxation at the PBE level of DFT.

Cell and atoms, written as POSCAR:
```
Tb5Pr2Er3
1.0
-8.118 2.376 4.100
-2.165 -6.004 6.967
9.122 6.424 -0.325
Er Tb Pr
6 10 4
Direct
0.991 0.221 0.760
0.009 0.779 0.240
0.731 0.461 0.240
0.269 0.539 0.760
0.774 0.024 0.047
0.226 0.976 0.953
0.279 0.529 0.059
0.869 0.612 0.766
0.397 0.154 0.766
0.721 0.471 0.941
0.603 0.846 0.234
0.131 0.388 0.234
0.018 0.768 0.536
0.524 0.274 0.548
0.982 0.232 0.464
0.476 0.726 0.452
0.780 0.014 0.747
0.467 0.733 0.747
0.533 0.267 0.253
0.220 0.986 0.253
```

Values from the calculation:
Magnetization   0.00 μB/f.u.
Energy of formation   0.19 eV/atom
V   664 Å³/cell
Calculated total energy   -4.446 eV/atom

---

Record 6
Computed, not measured: Tb5PrEr6 after structural relaxation at the PBE level of DFT.

Cell and atoms, written as POSCAR:
```
Tb5PrEr6
1.0
-7.119 -6.314 3.381
9.443 -2.734 -2.310
0.418 4.237 3.882
Er Tb Pr
6 5 1
Direct
0.932 0.568 0.750
0.068 0.432 0.250
0.251 0.251 0.751
0.749 0.749 0.249
0.568 0.932 0.750
0.432 0.068 0.250
0.653 0.347 0.000
0.500 0.500 0.500
0.846 0.154 0.500
0.347 0.653 0.000
0.154 0.846 0.500
0.000 0.000 0.000
```

Values from the calculation:
Magnetization   0.00 μB/f.u.
Energy of formation   0.11 eV/atom
V   383 Å³/cell
Calculated total energy   -4.501 eV/atom

---

Record 7
Computed, not measured: Tb12Pr2Er5 after structural relaxation at the PBE level of DFT.

Cell and atoms, written as POSCAR:
```
Tb12Pr2Er5
1.0
6.582 -0.235 1.539
-4.343 9.649 -7.507
1.895 -2.429 11.926
Tb Er Pr
12 5 2
Direct
0.291 0.611 0.476
0.127 0.967 0.719
0.149 0.407 0.640
0.611 0.032 0.805
0.389 0.968 0.195
0.519 0.613 0.929
0.851 0.593 0.360
0.873 0.033 0.281
0.481 0.387 0.071
0.927 0.642 0.055
0.709 0.389 0.524
0.073 0.358 0.945
0.604 0.748 0.763
0.000 0.000 0.500
0.585 0.217 0.678
0.396 0.252 0.237
0.415 0.783 0.322
0.914 0.186 0.116
0.086 0.814 0.884
```

Values from the calculation:
Magnetization   0.00 μB/f.u.
Energy of formation   0.09 eV/atom
V   617 Å³/cell
Calculated total energy   -4.538 eV/atom

---

Record 8
Computed, not measured: Tb11Pr4Er9 after structural relaxation at the PBE level of DFT.

Cell and atoms, written as POSCAR:
```
Tb11Pr4Er9
1.0
-1.599 2.925 1.583
-5.326 4.365 -13.446
-9.484 -9.169 7.362
Er Tb Pr
9 11 4
Direct
0.500 0.065 0.211
0.500 0.163 0.635
0.500 0.211 0.065
0.500 0.500 0.500
0.500 0.365 0.837
0.500 0.837 0.365
0.500 0.935 0.789
0.500 0.789 0.935
0.500 0.635 0.163
0.000 0.594 0.956
0.000 0.365 0.635
0.000 0.160 0.840
0.000 0.406 0.044
0.000 0.635 0.365
0.000 0.713 0.713
0.000 0.956 0.594
0.000 0.840 0.160
0.000 0.000 0.000
0.000 0.044 0.406
0.000 0.287 0.287
0.500 0.245 0.446
0.500 0.554 0.755
0.500 0.755 0.554
0.500 0.446 0.245
```

Values from the calculation:
Magnetization   0.01 μB/f.u.
Energy of formation   0.07 eV/atom
V   776 Å³/cell
Calculated total energy   -4.565 eV/atom

---

Record 9
Computed, not measured: Tb3PrEr4 after structural relaxation at the PBE level of DFT.

Cell and atoms, written as POSCAR:
```
Tb3PrEr4
1.0
3.306 -0.079 0.914
1.305 8.407 2.404
-0.653 -1.087 8.754
Pr Er Tb
1 4 3
Direct
0.500 0.000 0.000
0.364 0.386 0.885
0.366 0.885 0.386
0.634 0.115 0.614
0.636 0.614 0.115
0.758 0.242 0.242
0.242 0.758 0.758
0.000 0.500 0.500
```

Values from the calculation:
Magnetization   0.00 μB/f.u.
Energy of formation   0.14 eV/atom
V   257 Å³/cell
Calculated total energy   -4.473 eV/atom

---

Record 10
Computed, not measured: Tb4Pr7Er after structural relaxation at the PBE level of DFT.

Cell and atoms, written as POSCAR:
```
Tb4Pr7Er
1.0
6.057 0.000 0.000
3.028 9.163 2.083
3.028 1.744 7.978
Pr Tb Er
7 4 1
Direct
0.791 0.880 0.538
0.791 0.230 0.188
0.209 0.120 0.462
0.209 0.770 0.812
0.500 0.000 0.000
0.917 0.443 0.724
0.083 0.557 0.276
0.429 0.697 0.446
0.571 0.303 0.554
0.328 0.389 0.955
0.672 0.611 0.045
0.000 0.000 0.000
```

Values from the calculation:
Magnetization   0.00 μB/f.u.
Energy of formation   0.21 eV/atom
V   421 Å³/cell
Calculated total energy   -4.498 eV/atom

---

Record 11
Computed, not measured: Tb3Pr5Er2 after structural relaxation at the PBE level of DFT.

Cell and atoms, written as POSCAR:
```
Tb3Pr5Er2
1.0
-5.811 -3.511 -7.500
7.596 -6.051 2.830
-5.358 1.510 7.326
Er Pr Tb
4 10 6
Direct
0.282 0.723 0.757
0.975 0.034 0.757
0.025 0.966 0.243
0.718 0.277 0.243
0.228 0.478 0.956
0.877 0.634 0.759
0.477 0.227 0.454
0.618 0.876 0.241
0.772 0.522 0.044
0.123 0.366 0.241
0.018 0.268 0.536
0.982 0.732 0.464
0.382 0.124 0.759
0.523 0.773 0.546
0.729 0.979 0.958
0.220 0.778 0.250
0.530 0.472 0.250
0.470 0.528 0.750
0.271 0.021 0.042
0.780 0.222 0.750
```

Values from the calculation:
Magnetization   0.00 μB/f.u.
Energy of formation   0.17 eV/atom
V   688 Å³/cell
Calculated total energy   -4.520 eV/atom

---

Record 12
Computed, not measured: Tb3Pr3Er2 after structural relaxation at the PBE level of DFT.

Cell and atoms, written as POSCAR:
```
Tb3Pr3Er2
1.0
-1.869 5.394 0.716
-5.694 -1.887 -0.653
3.408 -2.895 7.596
Tb Er Pr
3 2 3
Direct
0.366 0.814 0.733
0.500 0.500 0.000
0.634 0.186 0.267
0.250 0.182 0.500
0.750 0.818 0.500
0.000 0.000 0.000
0.136 0.575 0.271
0.864 0.425 0.729
```

Values from the calculation:
Magnetization   0.00 μB/f.u.
Energy of formation   0.08 eV/atom
V   268 Å³/cell
Calculated total energy   -4.589 eV/atom